# 1
A PBEsol-optimized structure of TeIrPd2, computed with SCAN.

Output
* uncorrected formation energy: 0.120 eV/atom

Cell lengths 3.8035, 3.8035, 18.9073 Å; angles 90.00, 90.00, 90.00 degrees
Space group I-42d (No. 122)
One atom of each set of equivalent atoms:
Te 0.0000 0.0000 0.0000 [4 per cell]
Ir 0.0000 0.0000 0.5000 [4 per cell]
Pd 0.2431 0.2500 0.6250 [8 per cell]


# 2
A PBEsol-optimized structure of Y2AgAu, computed with SCAN.

Output
* formation energy: -788 meV/atom

Cell lengths 3.6775, 4.6659, 5.6048 Å; angles 90.00, 105.33, 90.00 degrees
Space group Pm (No. 6)
One atom of each set of equivalent atoms:
Y 0.0000 0.0000 0.0000 [1 per cell]
Y 0.2449 0.5000 0.5573 [1 per cell]
Ag 0.5510 0.5000 0.1118 [1 per cell]
Au 0.6975 0.0000 0.4460 [1 per cell]